Record 1
The following is a DFT calculation (PBE-GGA) of a relaxed structure of La4SmEr3S8.

Output
The density of states at the Fermi level comes out at 0.5167 states/eV per atom. Its uncorrected formation energy is -2.0726 eV/atom.

Lattice parameters (Å, degrees): 7.996 8.120 7.996 119.50 120.00 90.00
Fractional coordinates of all 16 atoms:
La 0.500 0.000 0.000
La 0.500 0.000 0.500
La 0.000 0.000 0.000
La 0.000 0.000 0.500
Sm 0.000 0.500 0.000
Er 0.500 0.500 0.000
Er 0.500 0.500 0.500
Er 0.000 0.500 0.500
S 0.246 0.729 0.983
S 0.246 0.729 0.493
S 0.258 0.275 0.517
S 0.736 0.729 0.983
S 0.264 0.271 0.017
S 0.742 0.725 0.483
S 0.754 0.271 0.507
S 0.754 0.271 0.017


Record 2
The following is a DFT calculation (PBE-GGA) of a relaxed structure of UH8Pt2Rh.

Output
As for the raw total energy: -0.178 Ha/atom. The density of states at the Fermi level comes out at 0.7019 states/eV per atom.

Lattice parameters (Å, degrees): 4.982 4.982 5.709 90.00 90.00 120.00
Last column: magnetic moment on the atom in μB.
Fractional coordinates of all 12 atoms:
U 0.000 0.000 0.500  1.68
H 0.829 0.171 0.162  0.00
H 0.829 0.658 0.162  0.00
H 0.342 0.171 0.162  0.00
H 0.658 0.829 0.838  0.00
H 0.333 0.667 0.341  -0.01
H 0.667 0.333 0.659  -0.01
H 0.171 0.829 0.838  0.00
H 0.171 0.342 0.838  0.00
Pt 0.667 0.333 0.377  -0.08
Pt 0.333 0.667 0.623  -0.08
Rh 0.000 0.000 0.000  -0.04


Record 3
The following is a DFT calculation (PBE-GGA) of a relaxed structure of KAlSiS4.

Output
The density of states at the Fermi level comes out at 0.0000 states/eV per atom. Its uncorrected formation energy is -0.9875 eV/atom.

Lattice parameters (Å, degrees): 6.578 6.578 6.363 121.12 121.12 90.00
Fractional coordinates of all 7 atoms:
K 0.000 0.000 0.000
Al 0.500 0.500 0.000
Si 0.250 0.750 0.500
S 0.207 0.110 0.722
S 0.389 0.793 0.278
S 0.515 0.611 0.722
S 0.890 0.485 0.278


Record 4
The following is a DFT calculation (PBE-GGA) of a relaxed structure of YAu3.

Output
The value obtained for the energy relative to the elements is -0.603 eV/atom. The density of states at the Fermi level comes out at 0.4660 states/eV per atom.

Lattice parameters (Å, degrees): 3.627 3.627 6.277 90.00 90.00 90.01
Fractional coordinates of all 4 atoms:
Y 0.500 0.500 0.250
Au 0.000 0.000 0.985
Au 0.000 0.000 0.515
Au 0.500 0.500 0.750


Record 5
The following is a DFT calculation (PBE-GGA) of a relaxed structure of Tb4TlCu.

Output
The value obtained for the energy relative to the elements is -0.168 eV/atom. For the relative energy among the computed polymorphs, the calculation gives 0.0 meV/atom. The density of states at the Fermi level comes out at 1.0183 states/eV per atom.

Lattice parameters (Å, degrees): 5.396 7.092 9.439 90.00 115.08 90.00
Fractional coordinates of all 12 atoms:
Tb 0.594 0.250 0.450
Tb 0.406 0.750 0.550
Tb 0.661 0.250 0.872
Tb 0.339 0.750 0.128
Tb 0.924 0.015 0.248
Tb 0.076 0.515 0.752
Tb 0.924 0.485 0.248
Tb 0.076 0.985 0.752
Tl 0.311 0.250 0.080
Tl 0.689 0.750 0.920
Cu 0.187 0.250 0.552
Cu 0.813 0.750 0.448


Record 6
The following is a DFT calculation (PBE-GGA) of a relaxed structure of HAu3Se.

Output
For the relative energy among the computed polymorphs, the calculation gives 0.0 meV/atom. The density of states at the Fermi level comes out at 0.0671 states/eV per atom.

Lattice parameters (Å, degrees): 4.289 4.289 4.289 90.00 90.00 90.00
Fractional coordinates of all 5 atoms:
H 0.000 0.000 0.000
Au 0.000 0.500 0.000
Au 0.000 0.000 0.500
Au 0.500 0.000 0.000
Se 0.500 0.500 0.500


Record 7
The following is a DFT calculation (PBE-GGA) of a relaxed structure of Cd2GeBi.

Output
The value obtained for the energy relative to the elements is 0.138 eV/atom. For the relative energy among the computed polymorphs, the calculation gives 0.0 meV/atom. The density of states at the Fermi level comes out at 0.3527 states/eV per atom.

Lattice parameters (Å, degrees): 4.582 4.582 6.474 69.28 69.28 60.00
Fractional coordinates of all 4 atoms:
Cd 0.067 0.067 0.798
Cd 0.264 0.264 0.209
Ge 0.667 0.667 0.998
Bi 0.502 0.502 0.495


Record 8
The following is a DFT calculation (PBE-GGA) of a relaxed structure of YHoIr.

Output
The value obtained for the energy relative to the elements is -0.698 eV/atom. For the relative energy among the computed polymorphs, the calculation gives 0.0 meV/atom. The density of states at the Fermi level comes out at 0.7532 states/eV per atom.

Lattice parameters (Å, degrees): 4.800 4.800 6.784 90.13 90.10 90.00
Fractional coordinates of all 6 atoms:
Y 0.500 0.000 0.250
Y 0.500 0.000 0.750
Ir 0.000 0.000 0.000
Ir 0.500 0.500 0.500
Ho 0.000 0.500 0.250
Ho 0.000 0.500 0.750


Record 9
The following is a DFT calculation (PBE-GGA) of a relaxed structure of MgSi3Ag.

Output
For the relative energy among the computed polymorphs, the calculation gives 0.0 meV/atom. The density of states at the Fermi level comes out at 0.6263 states/eV per atom. Its uncorrected formation energy is 0.9610 eV/atom.

Lattice parameters (Å, degrees): 4.890 4.890 4.890 90.00 90.00 90.00
Fractional coordinates of all 5 atoms:
Si 0.000 0.500 0.000
Si 0.000 0.000 0.500
Si 0.500 0.000 0.000
Mg 0.500 0.500 0.500
Ag 0.000 0.000 0.000


Record 10
The following is a DFT calculation (PBE-GGA) of a relaxed structure of TaMoC2.

Output
The value obtained for the energy relative to the elements is -0.131 eV/atom. For the relative energy among the computed polymorphs, the calculation gives 93.9 meV/atom. The density of states at the Fermi level comes out at 0.6425 states/eV per atom.

Lattice parameters (Å, degrees): 5.589 5.589 5.589 149.95 149.62 43.26
Fractional coordinates of all 4 atoms:
Mo 0.545 0.545 0.000
C 0.959 0.959 0.000
C 0.703 0.203 0.500
Ta 0.293 0.793 0.500


Record 11
The following is a DFT calculation (PBE-GGA) of a relaxed structure of Cu2AsPt.

Output
The value obtained for the energy relative to the elements is -0.036 eV/atom. The density of states at the Fermi level comes out at 0.2650 states/eV per atom.

Lattice parameters (Å, degrees): 4.336 4.336 4.336 60.00 60.00 60.00
Fractional coordinates of all 4 atoms:
As 0.500 0.500 0.500
Cu 0.000 0.000 0.000
Cu 0.250 0.250 0.250
Pt 0.750 0.750 0.750


Record 12
The following is a DFT calculation (PBE-GGA) of a relaxed structure of K2LiY.

Output
The value obtained for the energy relative to the elements is 0.543 eV/atom. The density of states at the Fermi level comes out at 1.1131 states/eV per atom.

Lattice parameters (Å, degrees): 7.014 7.014 3.730 90.00 90.00 90.00
Last column: magnetic moment on the atom in μB.
Fractional coordinates of all 4 atoms:
K 0.000 0.000 0.000  0.01
K 0.500 0.500 0.000  0.01
Li 0.500 0.000 0.500  -0.01
Y 0.000 0.500 0.500  0.24


Record 13
The following is a DFT calculation (PBE-GGA) of a relaxed structure of CePm3Te6.

Output
The density of states at the Fermi level comes out at 0.7268 states/eV per atom. Its uncorrected formation energy is -1.4041 eV/atom.

Lattice parameters (Å, degrees): 4.463 12.711 13.076 109.15 90.00 90.00
Last column: magnetic moment on the atom in μB.
Fractional coordinates of all 20 atoms:
Ce 0.750 0.044 0.694  0.94
Ce 0.250 0.956 0.306  0.94
Pm 0.750 0.431 0.833  0.00
Pm 0.250 0.569 0.167  0.00
Pm 0.750 0.682 0.501  0.00
Pm 0.250 0.318 0.499  0.00
Pm 0.750 0.155 0.080  0.00
Pm 0.250 0.845 0.920  0.00
Te 0.750 0.486 0.619  0.00
Te 0.250 0.514 0.381  0.00
Te 0.750 0.915 0.101  -0.01
Te 0.250 0.085 0.899  -0.01
Te 0.750 0.394 0.062  0.00
Te 0.250 0.606 0.938  0.00
Te 0.750 0.749 0.279  -0.01
Te 0.250 0.251 0.721  -0.01
Te 0.750 0.113 0.466  -0.02
Te 0.250 0.887 0.534  -0.02
Te 0.750 0.808 0.749  -0.01
Te 0.250 0.192 0.251  -0.01


Record 14
The following is a DFT calculation (PBE-GGA) of a relaxed structure of Hf3CuI.

Output
For the relative energy among the computed polymorphs, the calculation gives 0.0 meV/atom. The density of states at the Fermi level comes out at 1.5326 states/eV per atom. Its uncorrected formation energy is 0.6320 eV/atom.

Lattice parameters (Å, degrees): 4.936 4.936 4.936 90.00 90.00 90.00
Fractional coordinates of all 5 atoms:
I 0.500 0.500 0.500
Hf 0.000 0.500 0.000
Hf 0.000 0.000 0.500
Hf 0.500 0.000 0.000
Cu 0.000 0.000 0.000


Record 15
The following is a DFT calculation (PBE-GGA) of a relaxed structure of Cd2TeCl.

Output
For the relative energy among the computed polymorphs, the calculation gives 224.6 meV/atom. The density of states at the Fermi level comes out at 0.4540 states/eV per atom. Its uncorrected formation energy is -0.2421 eV/atom.

Lattice parameters (Å, degrees): 5.160 5.160 3.775 90.00 90.00 90.00
Fractional coordinates of all 4 atoms:
Cl 0.500 0.000 0.500
Te 0.000 0.500 0.500
Cd 0.000 0.000 0.000
Cd 0.500 0.500 0.000


Record 16
The following is a DFT calculation (PBE-GGA) of a relaxed structure of CsPb2Br5.

Output
For the relative energy among the computed polymorphs, the calculation gives 26.6 meV/atom. The density of states at the Fermi level comes out at 0.0000 states/eV per atom. Its uncorrected formation energy is -1.1251 eV/atom.

Lattice parameters (Å, degrees): 6.019 8.296 16.280 90.00 90.00 111.27
Fractional coordinates of all 16 atoms:
Cs 0.781 0.563 0.750
Cs 0.219 0.437 0.250
Pb 0.866 0.731 0.443
Pb 0.866 0.731 0.057
Pb 0.134 0.269 0.557
Pb 0.134 0.269 0.943
Br 0.951 0.902 0.894
Br 0.951 0.902 0.606
Br 0.320 0.640 0.456
Br 0.320 0.640 0.044
Br 0.834 0.669 0.250
Br 0.166 0.331 0.750
Br 0.680 0.360 0.544
Br 0.680 0.360 0.956
Br 0.049 0.098 0.106
Br 0.049 0.098 0.394


Record 17
The following is a DFT calculation (PBE-GGA) of a relaxed structure of Li4Zn2Ag3.

Output
The value obtained for the energy relative to the elements is -0.186 eV/atom. The density of states at the Fermi level comes out at 0.3210 states/eV per atom.

Lattice parameters (Å, degrees): 4.027 4.910 8.388 72.11 76.11 65.79
Fractional coordinates of all 9 atoms:
Li 0.665 0.561 0.109
Li 0.007 0.324 0.663
Li 0.993 0.676 0.337
Li 0.335 0.439 0.891
Zn 0.331 0.116 0.223
Zn 0.669 0.884 0.777
Ag 0.334 0.770 0.562
Ag 0.000 0.000 0.000
Ag 0.666 0.230 0.438


Record 18
The following is a DFT calculation (PBE-GGA) of a relaxed structure of AcAlSiNi6.

Output
The density of states at the Fermi level comes out at 0.8701 states/eV per atom. Its uncorrected formation energy is -0.2080 eV/atom.

Lattice parameters (Å, degrees): 6.746 6.243 8.000 112.96 114.94 90.00
Fractional coordinates of all 18 atoms:
Ac 0.721 0.471 0.443
Ac 0.279 0.529 0.557
Al 0.500 0.000 0.500
Al 0.000 0.000 0.500
Si 0.500 0.500 0.000
Si 0.500 0.000 0.000
Ni 0.622 0.872 0.243
Ni 0.036 0.286 0.071
Ni 0.896 0.045 0.184
Ni 0.288 0.639 0.184
Ni 0.288 0.045 0.184
Ni 0.896 0.639 0.184
Ni 0.378 0.128 0.757
Ni 0.964 0.714 0.929
Ni 0.104 0.955 0.816
Ni 0.712 0.361 0.816
Ni 0.712 0.955 0.816
Ni 0.104 0.361 0.816


Record 19
The following is a DFT calculation (PBE-GGA) of a relaxed structure of LiPmTlCo.

Output
The value obtained for the energy relative to the elements is -0.034 eV/atom. The density of states at the Fermi level comes out at 1.4847 states/eV per atom.

Lattice parameters (Å, degrees): 4.785 4.785 4.785 60.00 60.00 60.00
Last column: magnetic moment on the atom in μB.
Fractional coordinates of all 4 atoms:
Tl 0.250 0.250 0.250  0.04
Li 0.000 0.000 0.000  0.00
Co 0.500 0.500 0.500  0.97
Pm 0.750 0.750 0.750  0.04


Record 20
The following is a DFT calculation (PBE-GGA) of a relaxed structure of Np2InI6.

Output
The density of states at the Fermi level comes out at 2.3504 states/eV per atom. Its uncorrected formation energy is -0.7111 eV/atom.

Lattice parameters (Å, degrees): 7.728 7.964 7.964 120.00 90.00 90.00
Last column: magnetic moment on the atom in μB.
Fractional coordinates of all 9 atoms:
Np 0.500 0.667 0.333  4.34
Np 0.500 0.333 0.667  4.34
In 0.000 0.000 0.000  0.01
I 0.738 0.640 0.640  -0.04
I 0.262 0.640 0.000  -0.04
I 0.262 0.000 0.640  -0.04
I 0.738 0.360 0.000  -0.04
I 0.262 0.360 0.360  -0.04
I 0.738 0.000 0.360  -0.04